Entry 1:
Density functional theory data (PBE-GGA) for a relaxed Li2ZnSe crystal.

Lattice parameters (Å, degrees): 4.1960 3.6902 4.1983 90.00 90.00 90.00
Closest atoms and distances in Å follow each position.
Positions (direct):
1 Li 0.0000 0.1249 0.8764  4 Se 2.79-2.80, 4 Zn 2.79, 4 Li 2.96-2.98
2 Li 0.5000 0.1251 0.3737  4 Zn 2.79-2.80, 4 Se 2.79, 4 Li 2.96-2.98
3 Se 0.0000 0.6253 0.3773  8 Li 2.79-2.80, 4 Zn 2.95-2.98
4 Zn 0.5000 0.6246 0.8726  8 Li 2.79-2.80, 4 Se 2.95-2.98

* formation energy (no corrections): -593 meV per atom
* uncorrected energy: -2.740 eV/atom
* ΔE to the lowest computed polymorph: 0.0000 eV/atom
* density of states at the Fermi level: 1.23 states/eV/cell
* total magnetization: 0.00 μB per formula unit


Entry 2:
Density functional theory data (PBE-GGA) for a relaxed Ca4HgH2 crystal.

Lattice parameters (Å, degrees): 6.0503 6.2871 6.2871 76.61 61.24 61.24
Closest atoms and distances in Å follow each position.
Positions (direct):
1 Ca 0.4053 0.5000 0.1893  2 H 2.28
2 Ca 0.9053 0.1893 0.5000  2 H 2.28
3 Ca 0.5947 0.8107 0.5000  2 H 2.28
4 Ca 0.0947 0.5000 0.8107  2 H 2.28
5 Hg 0.0000 0.0000 0.0000  8 Ca 3.31
6 H 0.0000 0.5000 0.5000  4 Ca 2.28
7 H 0.5000 0.5000 0.5000  4 Ca 2.28

* uncorrected energy: -2.472 eV/atom
* density of states at the Fermi level: 3.19 states/eV/cell
* total magnetization: 0.00 μB per formula unit


Entry 3:
Density functional theory data (PBE-GGA) for a relaxed Tb2Ce3DyTe6 crystal.

Lattice parameters (Å, degrees): 7.6124 7.6124 7.7721 99.38 99.38 120.11
Closest atoms and distances in Å follow each position.
Positions (direct):
1 Tb 0.3335 0.6665 0.0000  6 Te 3.09
2 Tb 0.6665 0.3335 0.0000  6 Te 3.09
3 Ce 0.1674 0.8326 0.5000  6 Te 3.17-3.18
4 Ce 0.8326 0.1674 0.5000  6 Te 3.17-3.18
5 Ce 0.5000 0.5000 0.5000  6 Te 3.18
6 Dy 0.0000 0.0000 0.0000  6 Te 3.08
7 Te 0.9203 0.5880 0.7606  1 Dy 3.08, 2 Tb 3.09, 3 Ce 3.17-3.18
8 Te 0.7480 0.7480 0.2403  1 Dy 3.08, 2 Tb 3.09, 3 Ce 3.18
9 Te 0.0797 0.4120 0.2394  1 Dy 3.08, 2 Tb 3.09, 3 Ce 3.17-3.18
10 Te 0.5880 0.9203 0.7606  1 Dy 3.08, 2 Tb 3.09, 3 Ce 3.17-3.18
11 Te 0.2520 0.2520 0.7597  1 Dy 3.08, 2 Tb 3.09, 3 Ce 3.18
12 Te 0.4120 0.0797 0.2394  1 Dy 3.08, 2 Tb 3.09, 3 Ce 3.17-3.18

* formation energy (no corrections): -1346 meV per atom
* uncorrected energy: -5.556 eV/atom
* density of states at the Fermi level: 22.86 states/eV/cell
* total magnetization: 3.53 μB per formula unit


Entry 4:
Density functional theory data (PBE-GGA) for a relaxed SmGaTc2C crystal.

Lattice parameters (Å, degrees): 3.9612 5.7807 7.6876 90.00 90.00 110.04
Closest atoms and distances in Å follow each position.
Positions (direct):
1 Sm 0.4608 0.9216 0.7500  4 C 2.79, 1 Ga 3.00
2 Sm 0.5392 0.0784 0.2500  4 C 2.79, 1 Ga 3.00
3 Ga 0.7370 0.4740 0.7500  6 Tc 2.54-2.57
4 Ga 0.2630 0.5260 0.2500  6 Tc 2.54-2.57
5 Tc 0.1739 0.3477 0.9439  1 C 1.94
6 Tc 0.8261 0.6523 0.0561  1 C 1.94
7 Tc 0.1739 0.3477 0.5561  1 C 1.94
8 Tc 0.8261 0.6523 0.4439  1 C 1.94
9 C 0.0000 0.0000 0.0000  2 Tc 1.94
10 C 0.0000 0.0000 0.5000  2 Tc 1.94

* energy relative to the elements: -310 meV/atom
* uncorrected energy: -7.850 eV/atom
* density of states at the Fermi level: 5.63 states/eV/cell
* total magnetization: 0.00 μB per formula unit